A geometry-optimized Hf4Nb2Sb3C3 structure. Source: OQMD via LeMat-Bulk, functional PBE.

The structure in CIF format:
```
data_Hf4Nb2Sb3C3
_space_group_name_H-M_alt 'C 1 2/c 1'
_space_group_IT_number 15
_cell_length_a 10.231
_cell_length_b 5.931
_cell_length_c 13.879
_cell_angle_alpha 90.00
_cell_angle_beta 104.21
_cell_angle_gamma 90.00
loop_
_space_group_symop_operation_xyz
'x,y,z'
'-x,-y,-z'
'-x,y,-z+1/2'
'x,-y,z+1/2'
'x+1/2,y+1/2,z'
'-x+1/2,-y+1/2,-z'
'-x+1/2,y+1/2,-z+1/2'
'x+1/2,-y+1/2,z+1/2'
loop_
_atom_site_label
_atom_site_type_symbol
_atom_site_fract_x
_atom_site_fract_y
_atom_site_fract_z
Hf1 Hf 0.113 0.083 0.088
Hf2 Hf 0.220 0.083 0.412
Nb1 Nb 0.056 0.416 0.918
Sb1 Sb 0.000 0.093 0.750
Sb2 Sb 0.162 0.422 0.250
C1 C 0.085 0.246 0.500
C2 C 0.250 0.250 0.000
```

Results
Total magnetic moment, μB per cell: 0.0
DFT total energy, eV per atom: -8.970